DFT (PBE) results for a relaxed SbAuSe2N crystal.

Results
Its uncorrected formation energy is 1.010 eV per atom. The calculation puts the excess energy over the best structure of this formula in the dataset at 218.9 meV/atom.

```
SbAuSe2N
1.0
5.4087 0.0000 0.0000
0.0000 5.4087 0.0000
0.0000 0.0000 3.8564
Sb Au Se N
1 1 2 1
Cartesian
0.0000 0.0000 0.0000 Sb
2.7044 2.7044 1.9282 Au
0.0000 2.7044 0.0000 Se
2.7044 0.0000 0.0000 Se
0.0000 0.0000 1.9282 N
```

DFT (PBE) results for a relaxed Th7Al2Tc2 crystal.

Results
For the formation energy, the calculation gives -14 meV per atom.

```
Th7Al2Tc2
1.0
4.1294 -5.5415 0.0000
4.1294 5.5415 0.0000
0.0000 0.0000 6.9317
Th Al Tc
7 2 2
Cartesian
0.0000 0.0000 0.0000 Th
2.0647 2.7708 1.8375 Th
2.0647 2.7708 5.0941 Th
2.0647 -2.7708 1.8375 Th
2.0647 -2.7708 5.0941 Th
4.1294 0.0000 1.8508 Th
4.1294 0.0000 5.0809 Th
1.3146 0.0000 3.4658 Al
6.9441 0.0000 3.4658 Al
4.1294 2.3450 0.0000 Tc
4.1294 -2.3450 0.0000 Tc
```

DFT (PBE) results for a relaxed Al2Ge2As crystal.

Results
For the formation energy, the calculation gives 211 meV per atom.

```
Al2Ge2As
1.0
7.9510 0.0000 0.0000
0.0000 7.9510 0.0000
0.0000 0.0000 2.9347
Al Ge As
4 4 2
Cartesian
1.0922 2.8833 0.0000 Al
2.8833 6.8588 0.0000 Al
5.0677 1.0922 0.0000 Al
6.8588 5.0677 0.0000 Al
1.2873 5.2628 1.4674 Ge
2.6882 1.2873 1.4674 Ge
5.2628 6.6638 1.4674 Ge
6.6638 2.6882 1.4674 Ge
0.0000 0.0000 1.4674 As
3.9755 3.9755 1.4674 As
```

DFT (PBE) results for a relaxed Sc2AlZnH crystal.

Results
The calculation puts the excess energy over the best structure of this formula in the dataset at 0.0 meV/atom.

```
Sc2AlZnH
1.0
4.4905 0.0000 0.0000
0.0000 4.4905 0.0000
0.0000 0.0000 3.8237
Sc Al Zn H
2 1 1 1
Cartesian
0.0000 2.2452 0.0000 Sc
2.2452 0.0000 0.0000 Sc
0.0000 0.0000 1.9118 Al
2.2452 2.2452 1.9118 Zn
2.2452 2.2452 0.0000 H
```

DFT (PBE) results for a relaxed Pm3AlTl4S8 crystal.

Results
Its uncorrected formation energy is -1.234 eV per atom.

```
Pm3AlTl4S8
1.0
4.0324 2.3281 7.5114
-4.0324 2.3281 7.5114
0.0000 -4.6562 7.5114
Pm Al Tl S
3 1 4 8
Cartesian
-2.0162 -1.1641 7.5114 Pm
-2.0162 1.1640 15.0227 Pm
0.0000 2.3281 7.5113 Pm
0.0000 0.0000 0.0000 Al
-4.0324 0.0000 11.2670 Tl
-2.0162 1.1640 3.7557 Tl
2.0162 1.1641 3.7557 Tl
0.0000 0.0000 11.2670 Tl
0.0000 -2.5443 8.9445 S
-2.2034 1.2721 8.9445 S
-2.2034 -1.2721 13.5895 S
0.0000 0.0000 5.9617 S
0.0000 0.0000 16.5723 S
2.2034 1.2721 8.9445 S
2.2034 -1.2721 13.5895 S
0.0000 2.5443 13.5895 S
```

DFT (PBE) results for a relaxed Ti2MnCdH crystal.

```
Ti2MnCdH
1.0
4.2938 0.0000 0.0000
0.0000 4.2938 0.0000
0.0000 0.0000 3.6211
Ti Mn Cd H
2 1 1 1
Cartesian
0.0000 2.1469 0.0000 Ti
2.1469 0.0000 0.0000 Ti
0.0000 0.0000 1.8106 Mn
2.1469 2.1469 1.8106 Cd
0.0000 0.0000 0.0000 H
```

DFT (PBE) results for a relaxed VCo2Cu2 crystal.

Results
For the formation energy, the calculation gives 321 meV per atom. The calculation puts the excess energy over the best structure of this formula in the dataset at 18.5 meV/atom.

```
VCo2Cu2
1.0
6.8180 0.0000 0.0000
0.0000 6.8180 0.0000
0.0000 0.0000 2.5927
V Co Cu
2 4 4
Cartesian
0.0000 0.0000 0.0000 V
3.4090 3.4090 0.0000 V
1.1738 2.2352 1.2963 Co
2.2352 5.6442 1.2963 Co
4.5828 1.1738 1.2963 Co
5.6442 4.5828 1.2963 Co
0.8587 4.2677 0.0000 Cu
2.5503 0.8587 0.0000 Cu
4.2677 5.9593 0.0000 Cu
5.9593 2.5503 0.0000 Cu
```

DFT (PBE) results for a relaxed BaInRh3 crystal.

Results
For the formation energy, the calculation gives 1541 meV per atom. The calculation puts the excess energy over the best structure of this formula in the dataset at 1065.8 meV/atom.

```
BaInRh3
1.0
5.1152 0.0000 0.0000
0.0000 5.1152 0.0000
0.0000 0.0000 5.1152
Ba In Rh
1 1 3
Cartesian
0.0000 0.0000 0.0000 Ba
2.5576 2.5576 2.5576 In
0.0000 0.0000 2.5576 Rh
0.0000 2.5576 0.0000 Rh
2.5576 0.0000 0.0000 Rh
```

DFT (PBE) results for a relaxed Sc2AuBr crystal.

Results
Its uncorrected formation energy is -0.660 eV per atom. The calculation puts the excess energy over the best structure of this formula in the dataset at 133.5 meV/atom.

```
Sc2AuBr
1.0
4.6713 0.0000 0.0000
0.0000 1.6863 5.3943
0.0000 -1.6863 5.3943
Sc Au Br
2 1 1
Cartesian
0.0000 0.0000 0.0000 Sc
2.3356 0.0000 2.6636 Sc
2.3356 0.0000 5.4985 Au
0.0000 0.0000 8.0629 Br
```

DFT (PBE) results for a relaxed Ho2ZnOs crystal.

Results
For the formation energy, the calculation gives -299 meV per atom. The calculation puts the excess energy over the best structure of this formula in the dataset at 19.6 meV/atom.

```
Ho2ZnOs
1.0
0.0000 3.4543 3.4543
3.4543 0.0000 3.4543
3.4543 3.4543 0.0000
Ho Zn Os
2 1 1
Cartesian
1.7271 1.7271 1.7271 Ho
5.1814 5.1814 5.1814 Ho
0.0000 0.0000 0.0000 Zn
3.4543 3.4543 3.4543 Os
```

DFT (PBE) results for a relaxed Zn2CdCu crystal.

Results
For the formation energy, the calculation gives 59 meV per atom.

```
Zn2CdCu
1.0
2.8027 0.0000 0.0000
0.0000 4.3032 0.0000
-1.3679 0.0000 5.2713
Zn Cd Cu
2 1 1
Cartesian
0.0000 0.0000 0.0000 Zn
0.0274 2.1516 4.2451 Zn
1.4268 2.1516 1.7263 Cd
0.0244 0.0000 2.9091 Cu
```

DFT (PBE) results for a relaxed Ho3MgH crystal.

```
Ho3MgH
1.0
4.8728 0.0000 0.0000
0.0000 4.8728 0.0000
0.0000 0.0000 4.8728
Ho Mg H
3 1 1
Cartesian
0.0000 0.0000 2.4364 Ho
0.0000 2.4364 0.0000 Ho
2.4364 0.0000 0.0000 Ho
2.4364 2.4364 2.4364 Mg
0.0000 0.0000 0.0000 H
```

DFT (PBE) results for a relaxed TiVOs crystal.

Results
For the formation energy, the calculation gives -373 meV per atom. The calculation puts the excess energy over the best structure of this formula in the dataset at 76.7 meV/atom.

```
TiVOs
1.0
4.2391 0.0000 0.0000
-2.1195 3.6712 0.0000
0.0000 0.0000 2.7815
Ti V Os
1 1 1
Cartesian
0.0000 0.0000 0.0000 Ti
0.0000 2.4474 0.9680 V
2.1195 1.2237 1.8385 Os
```

DFT (PBE) results for a relaxed ErZnCoNi crystal.

Results
For the formation energy, the calculation gives -196 meV per atom.

```
ErZnCoNi
1.0
0.0000 3.1050 3.1050
3.1050 0.0000 3.1050
3.1050 3.1050 0.0000
Er Zn Co Ni
1 1 1 1
Cartesian
0.0000 0.0000 0.0000 Er
3.1050 3.1050 3.1050 Zn
4.6575 4.6575 4.6575 Co
1.5525 1.5525 1.5525 Ni
```

DFT (PBE) results for a relaxed Sr3TiN crystal.

Results
Its uncorrected formation energy is 0.192 eV per atom. The calculation puts the excess energy over the best structure of this formula in the dataset at 0.0 meV/atom.

```
Sr3TiN
1.0
5.3494 0.0000 0.0000
0.0000 5.3494 0.0000
0.0000 0.0000 5.3494
Sr Ti N
3 1 1
Cartesian
0.0000 0.0000 2.6747 Sr
0.0000 2.6747 0.0000 Sr
2.6747 0.0000 0.0000 Sr
2.6747 2.6747 2.6747 Ti
0.0000 0.0000 0.0000 N
```

DFT (PBE) results for a relaxed Zn2RuBr crystal.

Results
Its uncorrected formation energy is 0.199 eV per atom. The calculation puts the excess energy over the best structure of this formula in the dataset at 80.0 meV/atom.

```
Zn2RuBr
1.0
1.6350 0.9440 7.7751
-1.6350 0.9440 7.7751
0.0000 -1.8879 7.7751
Zn Ru Br
2 1 1
Cartesian
0.0000 0.0000 5.6560 Zn
0.0000 0.0000 17.6693 Zn
0.0000 0.0000 11.6627 Ru
0.0000 0.0000 0.0000 Br
```

DFT (PBE) results for a relaxed Cd2OsCl4 crystal.

Results
Its uncorrected formation energy is -0.039 eV per atom.

```
Cd2OsCl4
1.0
-2.3878 2.3878 7.9197
2.3878 -2.3878 7.9197
2.3878 2.3878 -7.9197
Cd Os Cl
2 1 4
Cartesian
0.0000 0.0000 2.3542 Cd
0.0000 0.0000 13.4853 Cd
0.0000 0.0000 7.9197 Os
2.3878 0.0000 0.0000 Cl
0.0000 0.0000 5.5582 Cl
0.0000 2.3878 0.0000 Cl
0.0000 0.0000 10.2812 Cl
```

DFT (PBE) results for a relaxed Zr2CdSb crystal.

Results
Its uncorrected formation energy is -0.180 eV per atom. The calculation puts the excess energy over the best structure of this formula in the dataset at 151.8 meV/atom.

```
Zr2CdSb
1.0
5.1013 -1.6015 0.0000
5.1013 1.6015 0.0000
-1.0297 0.0000 5.6131
Zr Cd Sb
2 1 1
Cartesian
2.2388 0.0000 1.4178 Zr
6.9341 0.0000 4.1953 Zr
-0.5148 0.0000 2.8066 Cd
5.1013 0.0000 0.0000 Sb
```

DFT (PBE) results for a relaxed Ce2CoGe6 crystal.

Results
For the formation energy, the calculation gives -488 meV per atom.

```
Ce2CoGe6
1.0
6.1188 0.0000 0.0000
-3.0594 5.2990 0.0000
0.0000 0.0000 5.2075
Ce Co Ge
2 1 6
Cartesian
0.0000 3.5327 1.5693 Ce
3.0594 1.7663 3.6382 Ce
0.0000 0.0000 2.6037 Co
0.0000 1.8142 4.1699 Ge
-1.4882 4.3919 4.1699 Ge
1.5711 0.9071 1.0376 Ge
1.4882 4.3919 4.1699 Ge
4.5476 0.9071 1.0376 Ge
3.0594 3.4848 1.0376 Ge
```

DFT (PBE) results for a relaxed Er3Zn2Pd6 crystal.

Results
For the formation energy, the calculation gives -783 meV per atom. The calculation puts the excess energy over the best structure of this formula in the dataset at 0.0 meV/atom.

```
Er3Zn2Pd6
1.0
-4.7287 4.7287 4.7287
4.7287 -4.7287 4.7287
4.7287 4.7287 -4.7287
Er Zn Pd
6 4 12
Cartesian
2.8526 0.0000 0.0000 Er
6.6049 0.0000 0.0000 Er
0.0000 2.8526 0.0000 Er
0.0000 0.0000 2.8526 Er
0.0000 6.6049 0.0000 Er
0.0000 0.0000 6.6049 Er
2.3644 2.3644 -2.3644 Zn
2.3644 -2.3644 2.3644 Zn
-2.3644 2.3644 2.3644 Zn
2.3644 2.3644 2.3644 Zn
4.7287 1.5628 -1.5628 Pd
4.7287 -1.5628 1.5628 Pd
4.7287 1.5628 1.5628 Pd
1.5628 4.7287 -1.5628 Pd
3.1659 3.1659 0.0000 Pd
1.5628 -1.5628 4.7287 Pd
3.1659 0.0000 3.1659 Pd
-1.5628 4.7287 1.5628 Pd
1.5628 4.7287 1.5628 Pd
-1.5628 1.5628 4.7287 Pd
1.5628 1.5628 4.7287 Pd
0.0000 3.1659 3.1659 Pd
```

Raw total energy: -3.529 -7.301 -4.063 -4.550 -5.014 -5.904 -5.984 -3.802 -5.063 -5.714 -1.831 -3.867 -9.787 -4.877 -4.061 -3.175 -2.960 -5.713 -5.674 -5.092 (eV per atom)